Below is Ti2AlCrIn after structural relaxation, with properties calculated at the PBE level.

Summary:
- Energy: -25.35 eV for the cell shown
- N(E_F): 7.50 states/eV per cell

Cell lengths 4.682, 4.768, 4.682 Å; angles 90.00, 90.00, 90.00 degrees
Each line ends with the local moment (μB).
Sites, in units of the cell vectors:
Cr1 0.500 0.500 0.500  0.12
Al1 0.000 0.000 0.000  0.01
Ti1 0.000 0.000 0.500  -0.05
Ti2 0.500 0.000 0.000  0.03
In1 0.000 0.500 0.000  -0.01


Below is AlTl2CrIn after structural relaxation, with properties calculated at the PBE level.

Summary:
- Energy: -16.14 eV for the cell shown
- N(E_F): 3.30 states/eV per cell

Cell lengths 5.721, 5.271, 5.721 Å; angles 90.00, 90.00, 90.00 degrees
Each line ends with the local moment (μB).
Sites, in units of the cell vectors:
Tl1 0.500 0.000 0.000  -0.01
Tl2 0.000 0.000 0.500  -0.04
In1 0.000 0.000 0.000  -0.03
Al1 0.500 0.500 0.500  -0.01
Cr1 0.000 0.500 0.000  4.01


Below is AlZnCrIn2 after structural relaxation, with properties calculated at the PBE level.

Summary:
- Energy: -16.34 eV for the cell shown
- N(E_F): 2.91 states/eV per cell

Cell lengths 5.282, 4.979, 5.282 Å; angles 90.00, 90.00, 90.00 degrees
Each line ends with the local moment (μB).
Sites, in units of the cell vectors:
Cr1 0.000 0.500 0.000  3.87
In1 0.500 0.000 0.000  0.01
In2 0.000 0.000 0.500  -0.02
Zn1 0.500 0.500 0.500  0.02
Al1 0.000 0.000 0.000  -0.01


Below is Al2CrIr after structural relaxation, with properties calculated at the PBE level.

Summary:
- Energy: -27.47 eV for the cell shown
- N(E_F): 3.42 states/eV per cell

Cell lengths 4.772, 4.772, 4.772 Å; angles 133.45, 133.45, 67.94 degrees
Each line ends with the local moment (μB).
Sites, in units of the cell vectors:
Ir1 0.750 0.250 0.500  0.09
Cr1 0.500 0.500 0.000  2.17
Al1 0.250 0.750 0.500  -0.02
Al2 0.000 0.000 0.000  -0.02


Below is Al2CrIr after structural relaxation, with properties calculated at the PBE level.

Summary:
- Energy: -26.91 eV for the cell shown
- N(E_F): 2.91 states/eV per cell

Cell lengths 5.037, 5.037, 5.037 Å; angles 146.54, 124.91, 66.01 degrees
Each line ends with the local moment (μB).
Sites, in units of the cell vectors:
Al1 0.498 0.498 0.000  -0.02
Al2 0.002 0.002 0.000  -0.02
Cr1 0.750 0.250 0.500  2.04
Ir1 0.250 0.750 0.500  0.12


Below is AlCr2Ir after structural relaxation, with properties calculated at the PBE level.

Summary:
- Energy: -32.73 eV for the cell shown
- N(E_F): 2.60 states/eV per cell

Cell lengths 4.872, 4.872, 4.323 Å; angles 63.64, 63.64, 35.68 degrees
Each line ends with the local moment (μB).
Sites, in units of the cell vectors:
Ir1 0.505 0.505 0.495  -0.07
Cr1 0.982 0.982 0.018  -1.42
Cr2 0.268 0.268 0.232  1.41
Al1 0.746 0.746 0.754  0.00


Below is Al2CrIr after structural relaxation, with properties calculated at the PBE level.

Summary:
- Energy: -26.76 eV for the cell shown
- N(E_F): 4.86 states/eV per cell

Cell lengths 8.493, 8.493, 8.493 Å; angles 18.91, 18.91, 18.91 degrees
Sites, in units of the cell vectors:
Al1 0.999 0.999 0.999
Al2 0.501 0.501 0.501
Ir1 0.250 0.250 0.250
Cr1 0.750 0.750 0.750


Below is AlCr2Ir after structural relaxation, with properties calculated at the PBE level.

Summary:
- Energy: -31.80 eV for the cell shown
- N(E_F): 4.75 states/eV per cell

Cell lengths 8.493, 8.493, 8.493 Å; angles 18.41, 18.41, 18.41 degrees
Each line ends with the local moment (μB).
Sites, in units of the cell vectors:
Cr1 0.997 0.997 0.997  0.38
Cr2 0.251 0.251 0.251  0.19
Ir1 0.503 0.503 0.503  -0.04
Al1 0.749 0.749 0.749  0.00


Below is Al2CrIr2 after structural relaxation, with properties calculated at the PBE level.

Summary:
- Energy: -74.23 eV for the cell shown
- N(E_F): 6.37 states/eV per cell

Cell lengths 7.220, 7.220, 2.850 Å; angles 90.00, 90.00, 90.00 degrees
Each line ends with the local moment (μB).
Sites, in units of the cell vectors:
Ir1 0.837 0.337 0.500  0.03
Ir2 0.337 0.163 0.500  0.03
Ir3 0.663 0.837 0.500  0.03
Ir4 0.163 0.663 0.500  0.03
Al1 0.366 0.866 0.000  -0.01
Al2 0.134 0.366 0.000  -0.01
Al3 0.866 0.634 0.000  -0.01
Al4 0.634 0.134 0.000  -0.01
Cr1 0.000 0.000 0.000  3.46
Cr2 0.500 0.500 0.000  3.46


Below is AlCr2Ir after structural relaxation, with properties calculated at the PBE level.

Summary:
- Energy: -32.32 eV for the cell shown
- N(E_F): 4.74 states/eV per cell

Cell lengths 4.716, 4.716, 2.650 Å; angles 90.00, 90.00, 116.80 degrees
Sites, in units of the cell vectors:
Ir1 0.500 0.000 0.500
Al1 0.000 0.500 0.500
Cr1 0.000 0.000 0.000
Cr2 0.500 0.500 0.000


Below is AlCr2Ir after structural relaxation, with properties calculated at the PBE level.

Summary:
- Energy: -31.77 eV for the cell shown
- N(E_F): 3.80 states/eV per cell

Cell lengths 8.665, 8.665, 8.665 Å; angles 17.87, 17.87, 17.87 degrees
Sites, in units of the cell vectors:
Ir1 0.250 0.250 0.250
Al1 0.750 0.750 0.750
Cr1 0.501 0.501 0.501
Cr2 0.999 0.999 0.999


Below is Al2CrIr after structural relaxation, with properties calculated at the PBE level.

Summary:
- Energy: -27.02 eV for the cell shown
- N(E_F): 2.43 states/eV per cell

Cell lengths 4.166, 2.804, 4.938 Å; angles 84.88, 90.00, 90.00 degrees
Each line ends with the local moment (μB).
Sites, in units of the cell vectors:
Al1 0.000 0.958 0.999  -0.03
Al2 0.000 0.542 0.501  -0.03
Ir1 0.500 0.750 0.750  0.02
Cr1 0.500 0.250 0.250  2.23


Below is Al2CrIr after structural relaxation, with properties calculated at the PBE level.

Summary:
- Energy: -27.10 eV for the cell shown
- N(E_F): 3.45 states/eV per cell

Cell lengths 3.065, 3.065, 5.876 Å; angles 90.00, 90.00, 90.00 degrees
Each line ends with the local moment (μB).
Sites, in units of the cell vectors:
Al1 0.000 0.000 0.991  -0.01
Al2 0.500 0.500 0.267  -0.01
Cr1 0.000 0.000 0.481  1.15
Ir1 0.500 0.500 0.761  0.14


Below is AlCr2Ir after structural relaxation, with properties calculated at the PBE level.

Summary:
- Energy: -33.10 eV for the cell shown
- N(E_F): 2.28 states/eV per cell

Cell lengths 3.049, 4.020, 4.379 Å; angles 90.00, 90.00, 90.00 degrees
Each line ends with the local moment (μB).
Sites, in units of the cell vectors:
Ir1 0.500 0.000 0.500  0.10
Cr1 0.500 0.500 0.000  -2.13
Cr2 0.000 0.000 0.000  2.15
Al1 0.000 0.500 0.500  0.00


Below is AlCr2Ir after structural relaxation, with properties calculated at the PBE level.

Summary:
- Energy: -32.58 eV for the cell shown
- N(E_F): 3.89 states/eV per cell

Cell lengths 3.952, 2.659, 5.593 Å; angles 62.64, 90.00, 90.00 degrees
Sites, in units of the cell vectors:
Ir1 0.500 0.250 0.250
Al1 0.500 0.750 0.750
Cr1 0.000 0.491 0.511
Cr2 0.000 0.009 0.989


Below is AlCr2Ir after structural relaxation, with properties calculated at the PBE level.

Summary:
- Energy: -33.03 eV for the cell shown
- N(E_F): 1.60 states/eV per cell

Cell lengths 2.939, 2.939, 5.952 Å; angles 90.00, 90.00, 90.00 degrees
Sites, in units of the cell vectors:
Al1 0.500 0.500 0.758
Cr1 0.500 0.500 0.217
Cr2 0.000 0.000 0.022
Ir1 0.000 0.000 0.504


Below is Al3CrIr after structural relaxation, with properties calculated at the PBE level.

Summary:
- Energy: -26.61 eV for the cell shown
- N(E_F): 8.32 states/eV per cell

Cell lengths 4.647, 4.647, 4.647 Å; angles 90.00, 90.00, 90.00 degrees
Each line ends with the local moment (μB).
Sites, in units of the cell vectors:
Al1 0.500 0.000 0.000  0.00
Al2 0.000 0.000 0.500  0.00
Al3 0.000 0.500 0.000  0.00
Cr1 0.500 0.500 0.500  -0.53
Ir1 0.000 0.000 0.000  0.12


Below is AlCr2Ir after structural relaxation, with properties calculated at the PBE level.

Summary:
- Energy: -60.03 eV for the cell shown
- N(E_F): 7.69 states/eV per cell

Cell lengths 6.921, 6.921, 5.479 Å; angles 50.83, 50.83, 90.00 degrees
Sites, in units of the cell vectors:
Cr1 0.651 0.125 0.250
Cr2 0.875 0.901 0.750
Cr3 0.375 0.349 0.750
Cr4 0.099 0.625 0.250
Al1 0.500 0.500 0.000
Al2 0.250 0.750 0.500
Ir1 0.750 0.250 0.500
Ir2 0.000 0.000 0.000


Below is Al2CrIr after structural relaxation, with properties calculated at the PBE level.

Summary:
- Energy: -27.42 eV for the cell shown
- N(E_F): 2.64 states/eV per cell

Cell lengths 5.132, 5.132, 5.132 Å; angles 146.56, 131.73, 59.99 degrees
Each line ends with the local moment (μB).
Sites, in units of the cell vectors:
Al1 0.738 0.238 0.500  -0.01
Al2 0.010 0.010 0.000  -0.02
Cr1 0.495 0.495 0.000  1.08
Ir1 0.256 0.756 0.500  -0.04


Below is Al2CrIr2 after structural relaxation, with properties calculated at the PBE level.

Summary:
- Energy: -72.17 eV for the cell shown
- N(E_F): 13.88 states/eV per cell

Cell lengths 7.174, 7.174, 2.838 Å; angles 90.00, 90.00, 90.00 degrees
Each line ends with the local moment (μB).
Sites, in units of the cell vectors:
Al1 0.655 0.845 0.500  0.00
Al2 0.155 0.655 0.500  0.00
Al3 0.345 0.155 0.500  0.00
Al4 0.845 0.345 0.500  0.00
Cr1 0.500 0.500 0.000  -0.08
Cr2 0.000 0.000 0.000  -0.08
Ir1 0.144 0.356 0.000  -0.01
Ir2 0.644 0.144 0.000  0.01
Ir3 0.856 0.644 0.000  -0.01
Ir4 0.356 0.856 0.000  0.01